! K2TlW2O7, optimized geometry, DFT PBE+U; values from VASP
! VASP energy (eV/atom): -6.14
! Spin magnetization (μB per formula unit): 1.0
&SYSTEM
  ibrav = 0, nat = 12, ntyp = 4
/
ATOMIC_SPECIES
K 39.10 K.upf
Tl 204.38 Tl.upf
W 183.84 W.upf
O 16.00 O.upf
CELL_PARAMETERS angstrom
3.361 1.940 8.290
-3.361 1.940 8.290
0.000 -3.881 8.290
ATOMIC_POSITIONS crystal
K 0.228 0.228 0.228
K 0.772 0.772 0.772
Tl 0.500 0.500 0.500
W 0.080 0.080 0.080
W 0.920 0.920 0.920
O 0.000 0.000 0.000
O 0.125 0.346 0.828
O 0.172 0.654 0.875
O 0.346 0.828 0.125
O 0.654 0.875 0.172
O 0.828 0.125 0.346
O 0.875 0.172 0.654